Record 1
First-principles (PBE) data for a relaxed LiHfGa crystal, as listed in the Alexandria database.

Unit cell a=3.0619 b=3.0619 c=11.9422 alpha=97.37 beta=97.37 gamma=90.00
Fractional positions:
Li  0.7106  0.7106  0.4211
Ga  0.1429  0.1429  0.2858
Hf  0.5633  0.5633  0.1267
Li  0.2894  0.2894  0.5789
Ga  0.8571  0.8571  0.7142
Hf  0.4367  0.4367  0.8733

E_tot (eV per atom): -5.067
Magnetic moment (μB/cell): 0.00
Excess energy over the best structure of this formula in the dataset (eV per atom): 0.205

Record 2
First-principles (PBE) data for a relaxed LiHfGa crystal, as listed in the Alexandria database.

Unit cell a=6.1114 b=4.2344 c=8.1850 alpha=90.00 beta=90.00 gamma=90.00
Fractional positions:
Li  0.6301  0.7500  0.0323
Hf  0.9365  0.2500  0.1663
Ga  0.2725  0.2500  0.6550
Ga  0.2275  0.7500  0.1550
Ga  0.7725  0.2500  0.8450
Ga  0.7275  0.7500  0.3450
Hf  0.5635  0.7500  0.6663
Li  0.1301  0.7500  0.4677
Li  0.8699  0.2500  0.5323
Hf  0.0635  0.7500  0.8337
Hf  0.4365  0.2500  0.3337
Li  0.3699  0.2500  0.9677

E_tot (eV per atom): -5.220
Magnetic moment (μB/cell): 0.00
Excess energy over the best structure of this formula in the dataset (eV per atom): 0.052

Record 3
First-principles (PBE) data for a relaxed LiHfGa crystal, as listed in the Alexandria database.

Unit cell a=4.4921 b=4.4921 c=4.4921 alpha=60.00 beta=60.00 gamma=60.00
Fractional positions:
Li  0.2500  0.2500  0.2500
Hf  0.5000  0.5000  0.5000
Ga  0.7500  0.7500  0.7500

E_tot (eV per atom): -4.485
Magnetic moment (μB/cell): 0.00
Excess energy over the best structure of this formula in the dataset (eV per atom): 0.787